The following is a DFT calculation (PBE-GGA) of a relaxed MoW2Br crystal.

Geometry as POSCAR:
```
MoW2Br
1.0
2.8801 -0.0143 0.0000
-1.1627 2.6350 0.0000
0.0000 0.0000 9.1992
W Mo Br
2 1 1
direct
0.0000 0.0000 0.9822 W
0.0000 0.0000 0.5178 W
0.5000 0.5000 0.7500 Mo
0.5000 0.5000 0.2500 Br
```

Output
Offset from the most stable computed form in eV/atom: 0.212
Total magnetic moment in μB per formula unit: 0.00
Fermi-level density of states in states/eV per atom: 1.14
Raw formation energy in eV per atom: 0.744